Entry 1:
AcSm6Tl6 | PBE | relaxed

Cell: 6.522 6.522 10.911 Å, 90.00 90.00 120.00°
Last column: magnetic moment on the atom in μB.
Fractional positions:
Sm: 0.000 0.000 0.340  0.25
Tl: 0.000 0.500 0.754  0.00
Ac: 0.000 0.000 0.000  0.06
Tl: 0.500 0.500 0.246  0.00
Sm: 0.333 0.667 0.000  0.02
Sm: 0.667 0.333 0.000  0.02
Tl: 0.500 0.000 0.246  0.00
Sm: 0.333 0.667 0.500  0.12
Tl: 0.000 0.500 0.246  0.00
Tl: 0.500 0.000 0.754  0.00
Sm: 0.667 0.333 0.500  0.12
Sm: 0.000 0.000 0.660  0.25
Tl: 0.500 0.500 0.754  0.00

E_tot = -3.83 eV/atom

=====

Entry 2:
AcSm5Tl3 | PBE | relaxed

Cell: 6.986 9.657 9.656 Å, 120.00 90.00 90.00°
Last column: magnetic moment on the atom in μB.
Fractional positions:
Tl: 0.250 0.000 0.339  0.00
Tl: 0.750 0.339 0.339  0.00
Sm: 0.250 0.000 0.665  0.13
Sm: 0.000 0.667 0.333  0.21
Sm: 0.500 0.667 0.333  0.21
Sm: 0.250 0.335 0.335  0.13
Tl: 0.250 0.661 0.661  0.00
Tl: 0.250 0.339 0.000  0.00
Sm: 0.500 0.333 0.667  0.21
Sm: 0.000 0.333 0.667  0.21
Ac: 0.000 0.000 0.000  0.14
Ac: 0.500 0.000 0.000  0.14
Tl: 0.750 0.661 0.000  0.00
Sm: 0.750 0.000 0.335  0.13
Sm: 0.750 0.335 0.000  0.13
Sm: 0.750 0.665 0.665  0.13
Sm: 0.250 0.665 0.000  0.13
Tl: 0.750 0.000 0.661  0.00

E_tot = -4.10 eV/atom

=====

Entry 3:
AcSm2Tl | PBE | relaxed

Cell: 3.625 6.120 18.002 Å, 47.23 90.00 90.00°
Fractional positions:
Sm: 0.250 0.344 0.953
Ac: 0.250 0.909 0.670
Tl: 0.750 0.364 0.443
Tl: 0.250 0.636 0.557
Ac: 0.750 0.091 0.330
Sm: 0.750 0.656 0.047
Sm: 0.250 0.129 0.810
Sm: 0.750 0.871 0.190

E_tot = -3.85 eV/atom

=====

Entry 4:
AcSm6Tl | PBE | relaxed

Cell: 5.041 5.041 10.433 Å, 90.00 90.00 90.00°
Fractional positions:
Tl: 0.000 0.000 0.500
Sm: 0.500 0.000 0.738
Sm: 0.500 0.500 0.000
Sm: 0.000 0.500 0.738
Sm: 0.500 0.000 0.262
Sm: 0.000 0.500 0.262
Ac: 0.000 0.000 0.000
Sm: 0.500 0.500 0.500

E_tot = -4.40 eV/atom